Compound: YMn2Pt2
Source: the Alexandria database
Functional: PBE-GGA
Structure: optimized geometry

Unit cell a=5.7454 b=5.7454 c=5.7454 alpha=138.21 beta=138.21 gamma=60.58
Fractional coordinates of all 5 atoms:
Y  0.0000  0.0000  0.0000
Mn  0.4044  0.4044  0.0000
Mn  0.5956  0.5956  0.0000
Pt  0.2500  0.7500  0.5000
Pt  0.7500  0.2500  0.5000

The value obtained for the formation energy is -1.78 eV/f.u. The value obtained for the total moment is 0.23 μB per atom. The value obtained for the total energy is -7.73 eV/atom.